The following is a DFT calculation (PBE-GGA) of crystalline Zn3S2O9 at its relaxed geometry.

Computed properties:
Crystal system: monoclinic
E: -5.44 eV/atom

```
28
Lattice="7.318 0.000 0.000 0.000 6.615 0.000 -3.634 0.000 6.979" Properties=species:S:1:pos:R:3 pbc="T T T"
Zn 0.000 0.000 0.000
Zn 0.000 3.308 0.000
Zn -1.542 1.654 5.459
Zn 1.774 1.654 1.863
Zn 1.910 4.961 5.117
Zn 5.226 4.961 1.520
S -1.437 4.961 4.864
S 2.194 4.961 1.993
S 1.489 1.654 4.986
S 5.121 1.654 2.116
O -1.618 4.961 3.418
O -2.074 3.761 5.479
O -2.074 6.162 5.479
O 0.950 1.654 0.082
O 1.331 3.769 1.773
O 1.331 6.153 1.773
O -0.005 4.961 5.180
O 0.922 1.654 3.624
O 0.361 1.654 5.944
O 3.323 4.961 1.035
O 2.762 4.961 3.356
O 3.689 1.654 1.800
O 2.353 0.462 5.207
O 2.353 2.846 5.207
O 2.734 4.961 6.897
O 5.758 0.453 1.500
O 5.758 2.855 1.500
O 5.302 1.654 3.562
```